No. 1
## Re4SiSb (PBE-GGA)

Data for a geometry-optimized Re4SiSb structure.

Results
- Crystal system: cubic
- DFT total energy: -218.22 eV per cell
- Formation energy from raw total energies: 4.78 eV/f.u.
- Volume: 412.30 Å³/cell
- Size of the total moment: 0.00 μB/cell

Cell: 7.4428 7.4428 7.4428 Å, 90.00 90.00 90.00°
Closest atoms and distances in Å follow each position.
Space group F-43m (No. 216)
Unique sites:
Re (0.1247, 0.1247, 0.1247) (multiplicity 16)  6 Re 2.63-2.64
Si (0.2500, 0.2500, 0.7500) (multiplicity 4)  12 Re 3.09, 4 Sb 3.22
Sb (0.0000, 0.0000, 0.5000) (multiplicity 4)  12 Re 3.09, 4 Si 3.22

No. 2
## RbTcBr3 (PBE-GGA)

Data for a geometry-optimized RbTcBr3 structure.

Results
- Crystal system: triclinic
- DFT total energy: -41.48 eV per cell
- Formation energy from raw total energies: -4.39 eV/f.u.
- Volume: 356.45 Å³/cell
- Energy above the most stable polymorph in this dataset: 0 meV/atom
- Size of the total moment: 0.00 μB/cell

Cell: 5.1835 8.1462 9.6477 Å, 114.93 103.78 90.01°
Closest atoms and distances in Å follow each position.
Space group P-1 (No. 2)
Unique sites:
Rb (0.1665, 0.1710, 0.3422) (multiplicity 2)  8 Br 3.51-3.77
Tc (0.3103, 0.4553, 0.9102) (multiplicity 2)  1 Tc 2.17
Br (0.0000, 0.2970, 0.9999) (multiplicity 2)  2 Tc 2.57
Br (0.3543, 0.1392, 0.7064) (multiplicity 2)  1 Tc 2.55
Br (0.3547, 0.5679, 0.7065) (multiplicity 2)  1 Tc 2.55